(1)
Compound: TlZnFe2
Source: the Alexandria database
Functional: PBE
Structure: optimized geometry

Cell lengths 3.0470, 3.0470, 25.4360 Å; angles 90.00, 90.00, 120.00 degrees
Space group R3m (No. 160, hexagonal axes)
Asymmetric unit:
Tl (0.0000, 0.0000, 0.0000) (multiplicity 3)
Zn (0.0000, 0.0000, 0.7656) (multiplicity 3)
Fe (0.0000, 0.0000, 0.2402) (multiplicity 3)
Fe (0.0000, 0.0000, 0.5088) (multiplicity 3)

Values from the calculation:
Offset from the most stable computed form ... 157.9 meV per atom
Formation energy ... 0.45 eV/atom
Calculated volume ... 17.043 Å³ per atom
Uncorrected energy ... -4.69 eV per atom

---

(2)
Compound: HfCd2Ir
Source: the Alexandria database
Functional: PBE
Structure: optimized geometry

Cell lengths 8.069, 8.069, 5.264 Å; angles 90.00, 90.00, 90.00 degrees
Space group I-42d (No. 122)
Asymmetric unit:
Hf (0.000, 0.000, 0.000) (multiplicity 4)
Cd (0.210, 0.750, 0.625) (multiplicity 8)
Ir (0.000, 0.000, 0.500) (multiplicity 4)

Values from the calculation:
Offset from the most stable computed form ... 264.4 meV per atom
Formation energy ... 0.29 eV/atom
Calculated volume ... 21.425 Å³ per atom
Uncorrected energy ... -4.87 eV per atom

---

Taking the records one at a time from the top gives DOS(E_F) values of 10.82 13.01 states/eV per cell.